1.
This record from Alexandria describes crystalline Sn5Au12Se3 at its relaxed geometry. The functional is PBE.

Results
Uncorrected formation energy ... 106 meV/atom
Total magnetic moment ... 0.00 μB/cell

a = 15.913 Å, b = 15.913 Å, c = 15.913 Å
α = 90.00°, β = 90.00°, γ = 90.00°
Space group Ia-3d (No. 230)
One atom of each set of equivalent atoms:
Sn1 0.000 0.000 0.000
Sn2 0.000 0.250 0.375
Au1 0.019 0.086 0.650
Se1 0.000 0.250 0.125



2.
This record from Alexandria describes crystalline NdSm6Tl5 at its relaxed geometry. The functional is PBE.

Results
Formation enthalpy at 0 K ... -3.55 eV/f.u.
Energy relative to the lowest polymorph listed for this composition ... 0 meV/atom
Total magnetic moment ... 0.00 μB/cell

a = 5.104 Å, b = 8.984 Å, c = 15.495 Å
α = 90.00°, β = 90.00°, γ = 90.00°
Space group Immm (No. 71)
One atom of each set of equivalent atoms:
Nd1 0.000 0.000 0.000
Sm1 0.000 0.227 0.500
Sm2 0.000 0.263 0.171
Tl1 0.000 0.000 0.322
Tl2 0.000 0.500 0.000
Tl3 0.000 0.500 0.350



3.
This record from Alexandria describes crystalline ScVS2 at its relaxed geometry. The functional is PBE.

Results
Uncorrected formation energy ... -1045 meV/atom
Energy relative to the lowest polymorph listed for this composition ... 0 meV/atom
Total magnetic moment ... 9.77 μB/cell

a = 5.529 Å, b = 5.529 Å, c = 11.303 Å
α = 90.00°, β = 90.00°, γ = 90.00°
Space group I-42d (No. 122)
One atom of each set of equivalent atoms:
Sc1 0.000 0.000 0.000
V1 0.000 0.000 0.500
S1 0.228 0.250 0.625



4.
This record from Alexandria describes crystalline La2Ta at its relaxed geometry. The functional is PBE.

Results
Formation enthalpy at 0 K ... 2.40 eV/f.u.
Energy relative to the lowest polymorph listed for this composition ... 523 meV/atom
Total magnetic moment ... 2.06 μB/cell

a = 7.327 Å, b = 7.327 Å, c = 7.327 Å
α = 90.00°, β = 90.00°, γ = 90.00°
Space group Pa-3 (No. 205)
One atom of each set of equivalent atoms:
La1 0.181 0.181 0.181
Ta1 0.000 0.000 0.500